Compound: Sc2InGe2
Source: Alexandria via LeMat-Bulk
Functional: PBEsol
Structure: relaxed

Its density of states at the Fermi level is 0.85 states/eV per atom. The value obtained for the formation energy is -9.4 kcal/mol of atoms. The value obtained for the total energy is -56.199 eV for the cell shown.

The space group is I4/mmm (No. 139) and the conventional cell measures 3.5918, 3.5918 and 16.2812 Å, with angles of 90.00, 90.00 and 90.00 degrees. The distinct sites, in fractional coordinates, are Sc at (0.0000, 0.0000, 0.1145), In at (0.0000, 0.0000, 0.5000) and Ge at (0.0000, 0.5000, 0.2500).